1.
Material: Sm2Co2Os
Method: DFT, GGA-PBE
State: relaxed

Output
DFT total energy, eV/cell: -71.0
Space-group type: C2/c

Structure (extended XYZ):
```
10
Lattice="4.5439 -2.7574 0.0000 4.5439 2.7574 0.0000 -1.7031 0.0000 7.6672" Properties=species:S:1:pos:R:3 pbc="T T T"
Sm 1.1226 0.6216 1.1825
Sm 0.2710 -0.6216 5.0161
Sm 7.1136 0.6216 2.6511
Sm 6.2621 -0.6216 6.4847
Co 2.6380 0.6410 3.8241
Co 1.7864 -0.6410 7.6577
Co 5.5982 0.6410 0.0095
Co 4.7466 -0.6410 3.8431
Os 4.1181 0.6615 1.9168
Os 3.2665 -0.6615 5.7504
```



2.
Material: CoAs2Au
Method: DFT, GGA-PBE
State: relaxed

Output
E above lowest polymorph, eV/atom: 0.2535
Space-group type: R3m

Structure (extended XYZ):
```
4
Lattice="1.7015 0.9824 6.9911 -1.7015 0.9824 6.9911 0.0000 -1.9647 6.9911" Properties=species:S:1:pos:R:3 pbc="T T T"
Co 0.0000 0.0000 0.0000
As 0.0000 0.0000 10.3889
As 0.0000 0.0000 15.1101
Au 0.0000 0.0000 5.1181
```



3.
Material: BaNd2Ag
Method: DFT, GGA-PBE
State: relaxed

Output
E above lowest polymorph, eV/atom: 0.0000
Space-group type: P4/mmm

Structure (extended XYZ):
```
4
Lattice="3.8393 0.0000 0.0000 0.0000 3.8393 0.0000 0.0000 0.0000 9.7836" Properties=species:S:1:pos:R:3 pbc="T T T"
Ba 0.0000 0.0000 0.0000
Nd 1.9196 1.9196 3.1453
Nd 1.9196 1.9196 6.6384
Ag 0.0000 0.0000 4.8918
```



4.
Material: TiS2ICl
Method: DFT, GGA-PBE
State: relaxed

Output
E above lowest polymorph, eV/atom: 0.0000
Space-group type: P4/mmm

Structure (extended XYZ):
```
5
Lattice="4.8368 0.0000 0.0000 0.0000 4.8368 0.0000 0.0000 0.0000 4.7979" Properties=species:S:1:pos:R:3 pbc="T T T"
Ti 0.0000 0.0000 0.0000
S 0.0000 2.4184 0.0000
S 2.4184 0.0000 0.0000
I 2.4184 2.4184 2.3989
Cl 0.0000 0.0000 2.3989
```



5.
Material: KLi2Pb2
Method: DFT, GGA-PBE
State: relaxed

Output
E above lowest polymorph, eV/atom: 0.0000
Space-group type: P4/mbm

Structure (extended XYZ):
```
10
Lattice="8.7600 0.0000 0.0000 0.0000 8.7600 0.0000 0.0000 0.0000 3.5187" Properties=species:S:1:pos:R:3 pbc="T T T"
K 0.0000 0.0000 0.0000
K 4.3800 4.3800 0.0000
Li 1.3392 3.0408 0.0000
Li 3.0408 7.4208 0.0000
Li 5.7192 1.3392 0.0000
Li 7.4208 5.7192 0.0000
Pb 1.1494 5.5294 1.7593
Pb 3.2305 1.1494 1.7593
Pb 5.5294 7.6105 1.7593
Pb 7.6105 3.2305 1.7593
```



6.
Material: LuMgCdSn
Method: DFT, GGA-PBE
State: relaxed

Output
DFT total energy, eV/cell: -12.0
Space-group type: F-43m

Structure (extended XYZ):
```
4
Lattice="0.0000 3.6267 3.6267 3.6267 0.0000 3.6267 3.6267 3.6267 0.0000" Properties=species:S:1:pos:R:3 pbc="T T T"
Lu 0.0000 0.0000 0.0000
Mg 3.6267 3.6267 3.6267
Cd 1.8134 1.8134 1.8134
Sn 5.4401 5.4401 5.4401
```



7.
Material: K2HgPb
Method: DFT, GGA-PBE
State: relaxed

Output
DFT total energy, eV/cell: -6.6
Space-group type: Cm

Structure (extended XYZ):
```
4
Lattice="2.6958 -2.4719 0.0000 2.6958 2.4719 0.0000 -0.0874 0.0000 10.8092" Properties=species:S:1:pos:R:3 pbc="T T T"
K 0.0000 0.0000 0.0000
K -0.0312 0.0000 5.5293
Hg 2.6425 0.0000 8.1714
Pb 2.6780 0.0000 2.7670
```



8.
Material: Cd10Hg2Pb
Method: DFT, GGA-PBE
State: relaxed

Output
DFT total energy, eV/cell: -12.7
Space-group type: Fmmm

Structure (extended XYZ):
```
13
Lattice="0.0000 7.0409 7.1039 3.1578 0.0000 7.1039 3.1578 7.0409 0.0000" Properties=species:S:1:pos:R:3 pbc="T T T"
Cd 1.5789 3.5205 0.0000
Cd 3.1578 1.5245 5.5782
Cd 3.1578 4.5622 4.6257
Cd 3.1578 1.5245 8.6297
Cd 3.1578 4.5622 9.5822
Cd 1.5789 3.5205 7.1039
Cd 3.1578 9.5196 4.6257
Cd 3.1578 12.5573 5.5782
Cd 3.1578 9.5196 9.5822
Cd 3.1578 12.5573 8.6297
Hg 1.5789 0.0000 3.5520
Hg 1.5789 7.0409 3.5520
Pb 3.1578 7.0409 7.1039
```



| no. | total magnetic moment (μB per cell) |
| --- | --- |
| 1 | 0.00 |
| 2 | 0.00 |
| 3 | 0.00 |
| 4 | 0.00 |
| 5 | 0.00 |
| 6 | 0.00 |
| 7 | 0.00 |
| 8 | 0.00 |